DFT (GGA-PBE) results for AgPt after structural relaxation.

Cell and atoms, written as extended XYZ:
```
8
Lattice="8.5891 0.0796 0.0000 -6.7050 5.3686 0.0000 0.0000 0.0000 2.8464" Properties=species:S:1:pos:R:3 pbc="T T T"
Ag 0.0204 0.0590 0.0000
Ag 3.3034 3.4325 1.4232
Ag -0.4772 4.7399 1.4232
Ag 0.9216 2.6651 0.0000
Pt 4.7656 1.4019 0.0000
Pt 2.5177 0.6543 1.4232
Pt -2.8815 4.0464 0.0000
Pt -1.5757 2.0698 1.4232
```

Summary:
Calculated formation energy, eV/atom: -0.001
Symmetry: Cmmm
Final energy, eV/atom: -4.447

DFT (GGA-PBE) results for AgPt after structural relaxation.

Cell and atoms, written as extended XYZ:
```
4
Lattice="-4.2222 -1.2946 -1.1327 -2.7139 -1.9114 3.1253 -3.5964 2.2958 1.6065" Properties=species:S:1:pos:R:3 pbc="T T T"
Ag 0.0000 0.0000 0.0000
Ag -7.8993 -0.6827 2.6993
Pt -2.6331 -0.2276 0.8998
Pt -5.2662 -0.4551 1.7995
```

Summary:
Calculated formation energy, eV/atom: 0.116
Symmetry: Fd-3m
Final energy, eV/atom: -4.330

DFT (GGA-PBE) results for Ag5Pt7 after structural relaxation.

Cell and atoms, written as extended XYZ:
```
12
Lattice="-1.6890 -2.0384 -0.9930 4.6699 -0.3915 -7.1396 7.9172 -5.8976 -1.3601" Properties=species:S:1:pos:R:3 pbc="T T T"
Ag 7.8834 -5.8540 -1.3922
Ag 4.2635 -2.7805 -5.5694
Ag 5.5188 -3.0892 -3.0456
Ag 3.1379 -0.2882 -4.7457
Ag 5.7730 -2.8728 -7.9475
Pt 9.7517 -5.8281 -8.6485
Pt 2.6353 -2.6303 -3.1082
Pt 8.6500 -3.3663 -7.8029
Pt 8.2060 -5.6752 -6.3330
Pt 9.4722 -5.9960 -3.8032
Pt 7.0994 -3.2353 -5.4343
Pt 6.6926 -5.5740 -3.9667
```

Summary:
Calculated formation energy, eV/atom: 0.022
Symmetry: Pm
Final energy, eV/atom: -4.690

DFT (GGA-PBE) results for Ag3Pt2 after structural relaxation.

Cell and atoms, written as extended XYZ:
```
10
Lattice="-4.3027 2.1890 7.1134 0.4239 4.7011 5.7720 -5.0859 2.1199 -0.3013" Properties=species:S:1:pos:R:3 pbc="T T T"
Ag -4.6127 4.5380 7.7813
Ag -4.2855 3.6149 5.1068
Ag -7.0932 5.8447 8.3129
Ag -6.2873 6.8131 10.8672
Ag -4.6316 6.4295 5.6096
Ag -2.2108 1.8610 3.2849
Pt -2.1667 5.4330 6.4101
Pt -6.8948 4.8255 5.7313
Pt -4.9387 2.5616 2.6155
Pt -3.9431 5.3809 10.3472
```

Summary:
Calculated formation energy, eV/atom: 0.108
Symmetry: Fdd2
Final energy, eV/atom: -4.019

DFT (GGA-PBE) results for Ag3Pt after structural relaxation.

Cell and atoms, written as extended XYZ:
```
4
Lattice="5.5750 -0.0075 -0.0091 2.5938 4.9349 0.0091 -3.3305 -3.7135 2.4897" Properties=species:S:1:pos:R:3 pbc="T T T"
Ag 2.7645 -0.0312 2.4869
Ag -1.2619 -2.4599 2.4869
Ag 0.0036 -0.0060 1.6605
Pt 1.5035 -2.4926 1.6617
```

Summary:
Calculated formation energy, eV/atom: 0.016
Symmetry: Imm2
Final energy, eV/atom: -3.633

DFT (GGA-PBE) results for AgPt after structural relaxation.

Cell and atoms, written as extended XYZ:
```
12
Lattice="2.8364 0.0000 0.0000 0.0000 8.6845 0.0053 0.0000 5.8851 8.0675" Properties=species:S:1:pos:R:3 pbc="T T T"
Ag 0.0000 5.8981 8.0095
Ag 1.4182 7.2499 1.9622
Ag 0.0000 5.8805 4.0646
Ag 1.4182 13.1021 6.0648
Ag 1.4182 4.3624 2.0297
Ag 0.0000 11.6130 4.0848
Pt 0.0000 11.6108 8.0255
Pt 1.4182 10.1573 6.1594
Pt 0.0000 2.8240 0.0555
Pt 1.4182 10.1415 2.0316
Pt 0.0000 8.7917 4.0015
Pt 1.4182 7.4138 5.9863
```

Summary:
Calculated formation energy, eV/atom: 0.003
Symmetry: Pm
Final energy, eV/atom: -4.443

DFT (GGA-PBE) results for AgPt after structural relaxation.

Cell and atoms, written as extended XYZ:
```
8
Lattice="-4.4480 -2.0717 -1.9367 2.7640 -3.9731 -2.0980 -0.6514 -2.8572 4.5527" Properties=species:S:1:pos:R:3 pbc="T T T"
Ag 1.4248 -3.6200 -2.0681
Ag -1.4804 -5.5736 -0.4902
Ag -0.8550 -3.3285 1.0082
Ag -3.1087 -2.4248 -1.9666
Pt -0.5386 -1.9333 -1.2904
Pt -3.4742 -3.8429 0.3106
Pt 1.1389 -5.0591 0.2074
Pt -1.1454 -4.1116 -2.7443
```

Summary:
Calculated formation energy, eV/atom: 0.525
Symmetry: P4_2/mnm
Final energy, eV/atom: -3.921

DFT (GGA-PBE) results for AgPt after structural relaxation.

Cell and atoms, written as extended XYZ:
```
12
Lattice="7.3457 0.0000 0.0000 0.0000 7.3457 0.0000 0.0000 0.0000 7.3457" Properties=species:S:1:pos:R:3 pbc="T T T"
Ag 1.8364 3.6729 0.0000
Ag 5.5093 3.6729 0.0000
Ag 3.6729 0.0000 1.8364
Ag 3.6729 0.0000 5.5093
Ag 0.0000 1.8364 3.6729
Ag 0.0000 5.5093 3.6729
Pt 1.8364 0.0000 3.6729
Pt 5.5093 0.0000 3.6729
Pt 0.0000 3.6729 1.8364
Pt 0.0000 3.6729 5.5093
Pt 3.6729 1.8364 0.0000
Pt 3.6729 5.5093 0.0000
```

Summary:
Calculated formation energy, eV/atom: 1.289
Symmetry: Pm-3n
Final energy, eV/atom: -3.157

DFT (GGA-PBE) results for Ag4Pt after structural relaxation.

Cell and atoms, written as extended XYZ:
```
5
Lattice="-2.2291 3.7959 2.5682 -4.5712 -1.6359 -1.5498 -0.3300 -2.9814 4.1202" Properties=species:S:1:pos:R:3 pbc="T T T"
Ag 0.0000 0.0000 0.0000
Ag -1.2796 0.4073 3.3442
Ag -2.4506 -2.3086 1.2852
Ag -3.4002 1.0800 0.5092
Pt -3.5652 -0.4107 2.5693
```

Summary:
Calculated formation energy, eV/atom: 0.799
Symmetry: Pm-3m
Final energy, eV/atom: -2.690

DFT (GGA-PBE) results for Ag3Pt after structural relaxation.

Cell and atoms, written as extended XYZ:
```
4
Lattice="-3.4326 3.2922 1.6926 -3.5937 0.9691 3.4107 11.0197 -2.6839 -2.5959" Properties=species:S:1:pos:R:3 pbc="T T T"
Ag -0.0089 0.0202 0.0265
Ag -1.5074 2.8992 3.7788
Ag 8.2648 -2.0129 -1.9469
Pt 2.7549 -0.6710 -0.6490
```

Summary:
Calculated formation energy, eV/atom: 0.003
Symmetry: C2/m
Final energy, eV/atom: -3.645

DFT (GGA-PBE) results for AgPt after structural relaxation.

Cell and atoms, written as extended XYZ:
```
8
Lattice="-0.7586 -3.5180 -3.2751 5.1879 -1.1177 2.3077 -2.2449 -2.0992 3.8996" Properties=species:S:1:pos:R:3 pbc="T T T"
Ag -0.7319 -3.5310 -3.2298
Ag -1.4219 -3.4759 1.5810
Ag 0.1819 -1.3262 2.5214
Ag 0.9783 -2.6899 0.1574
Pt 0.4706 -2.6834 5.0448
Pt 1.2080 -4.0496 2.7279
Pt 1.9814 -5.3882 0.4069
Pt 3.4774 -3.2364 1.3652
```

Summary:
Calculated formation energy, eV/atom: 0.019
Symmetry: P-1
Final energy, eV/atom: -4.427

DFT (GGA-PBE) results for Ag5Pt after structural relaxation.

Cell and atoms, written as extended XYZ:
```
6
Lattice="-1.1626 2.2295 -1.4121 1.7531 -1.8260 -1.3816 -11.3783 -8.2073 -3.5902" Properties=species:S:1:pos:R:3 pbc="T T T"
Ag -9.7039 -5.9842 -4.4036
Ag -7.6050 -5.4855 -2.3996
Ag -5.8799 -3.2260 -3.1970
Ag -3.7733 -2.7217 -1.1906
Ag -2.0559 -0.4677 -1.9905
Pt 0.0000 0.0000 0.0000
```

Summary:
Calculated formation energy, eV/atom: 0.025
Symmetry: P-6m2
Final energy, eV/atom: -3.358

DFT (GGA-PBE) results for AgPt after structural relaxation.

Cell and atoms, written as extended XYZ:
```
12
Lattice="6.4557 -0.0148 0.0117 0.6008 6.4277 0.0117 0.7265 0.6602 4.7956" Properties=species:S:1:pos:R:3 pbc="T T T"
Ag 7.7647 7.0532 4.7993
Ag 3.2926 1.0262 3.5897
Ag 5.8215 1.3728 2.3898
Ag 1.9556 1.7612 1.2355
Ag 1.3270 3.1827 3.6333
Ag 6.4521 3.9087 1.2036
Pt 4.4581 2.1633 0.0184
Pt 3.9031 3.6035 2.4404
Pt 2.6202 4.2854 0.0426
Pt 5.8284 5.2811 3.5783
Pt 1.9659 5.6355 2.4162
Pt 4.4736 6.0420 1.1805
```

Summary:
Calculated formation energy, eV/atom: 0.020
Symmetry: Cc
Final energy, eV/atom: -4.426

DFT (GGA-PBE) results for AgPt after structural relaxation.

Cell and atoms, written as extended XYZ:
```
12
Lattice="-0.1765 1.2063 3.8153 4.6040 -3.2195 1.2309 5.1620 6.6673 -1.8692" Properties=species:S:1:pos:R:3 pbc="T T T"
Ag 0.0532 -0.0012 0.0029
Ag 1.9855 0.9052 1.9081
Ag 4.0398 0.5647 0.0083
Ag 5.8949 1.5252 1.8929
Ag 5.3462 5.3996 0.6426
Ag 4.2480 -0.7557 2.5379
Pt 7.9935 1.2804 -0.0350
Pt 7.4807 4.9410 -1.2161
Pt 1.8427 2.2420 -0.6236
Pt 3.6389 3.2274 1.2504
Pt 5.6726 2.8658 -0.6437
Pt 7.5691 3.7205 1.2763
```

Summary:
Calculated formation energy, eV/atom: 0.034
Symmetry: Pmc2_1
Final energy, eV/atom: -4.412

DFT (GGA-PBE) results for Ag5Pt after structural relaxation.

Cell and atoms, written as extended XYZ:
```
6
Lattice="-0.5838 2.4225 4.3802 -3.9660 -0.7351 -3.0209 -0.8862 -4.1378 2.1703" Properties=species:S:1:pos:R:3 pbc="T T T"
Ag -4.5201 1.6764 1.3504
Ag -1.7371 1.3652 1.8934
Ag -2.8424 0.3333 -0.5253
Ag -0.6377 -1.2614 2.5452
Ag -1.7651 -2.3139 0.0782
Pt -3.4763 -0.9440 1.9913
```

Summary:
Calculated formation energy, eV/atom: 0.022
Symmetry: P-62m
Final energy, eV/atom: -3.361

DFT (GGA-PBE) results for Ag2Pt3 after structural relaxation.

Cell and atoms, written as extended XYZ:
```
5
Lattice="-0.7794 1.3968 2.2927 -3.3340 -3.7291 -0.5659 4.1294 -2.1025 4.3891" Properties=species:S:1:pos:R:3 pbc="T T T"
Ag 4.0658 -2.1058 4.3694
Ag 0.7369 -1.0248 2.5792
Pt 1.3256 -2.1545 5.1718
Pt -1.3304 -2.3786 0.9968
Pt -0.6364 -3.3085 3.5035
```

Summary:
Calculated formation energy, eV/atom: 0.015
Symmetry: C2/m
Final energy, eV/atom: -4.750

DFT (GGA-PBE) results for AgPt after structural relaxation.

Cell and atoms, written as extended XYZ:
```
2
Lattice="-0.4888 -0.8864 4.9369 -2.8110 -1.9306 3.7106 -0.4075 -3.4171 3.6816" Properties=species:S:1:pos:R:3 pbc="T T T"
Ag 0.0000 0.0000 0.0000
Pt -1.8536 -3.1171 6.1645
```

Summary:
Calculated formation energy, eV/atom: -0.025
Symmetry: R-3m
Final energy, eV/atom: -4.471

DFT (GGA-PBE) results for Ag3Pt after structural relaxation.

Cell and atoms, written as extended XYZ:
```
8
Lattice="5.7611 0.0022 0.0000 -2.8799 4.9867 0.0000 0.0000 0.0000 4.7781" Properties=species:S:1:pos:R:3 pbc="T T T"
Ag 0.0100 0.0058 0.0000
Ag 1.4536 2.5151 0.0000
Ag 2.9050 0.0020 0.0000
Ag 1.4303 0.8260 2.3890
Ag 2.8680 3.3056 2.3890
Ag 4.2965 0.8320 2.3890
Pt -1.3826 2.5265 0.0000
Pt -0.0569 3.2920 2.3890
```

Summary:
Calculated formation energy, eV/atom: 0.011
Symmetry: Cmcm
Final energy, eV/atom: -3.638

DFT (GGA-PBE) results for AgPt4 after structural relaxation.

Cell and atoms, written as extended XYZ:
```
5
Lattice="2.5625 -4.1627 -1.3114 -0.8131 -0.0232 4.9953 -4.4380 0.0851 -2.4313" Properties=species:S:1:pos:R:3 pbc="T T T"
Ag 0.0000 0.0000 0.0000
Pt 1.2812 -2.0814 -0.6557
Pt -1.3444 -2.0504 0.6263
Pt -0.4066 -0.0116 2.4976
Pt -2.2190 0.0426 -1.2156
```

Summary:
Calculated formation energy, eV/atom: 0.929
Symmetry: Im-3m
Final energy, eV/atom: -4.473

DFT (GGA-PBE) results for AgPt after structural relaxation.

Cell and atoms, written as extended XYZ:
```
12
Lattice="-6.6667 4.5509 2.9745 1.4516 -0.9167 4.6558 3.5933 3.2360 3.1024" Properties=species:S:1:pos:R:3 pbc="T T T"
Ag -0.0124 0.0085 0.0055
Ag -4.8355 3.3380 4.8092
Ag -4.4072 3.0085 1.9664
Ag -2.5981 1.8107 3.8110
Ag -3.0303 4.9502 6.3566
Ag -0.4378 3.1433 2.5482
Pt -2.1975 1.5001 0.9805
Pt -0.3625 0.2846 2.8135
Pt 1.7716 1.6351 1.5624
Pt -2.6743 4.6700 3.5460
Pt -0.7799 3.4140 5.3526
Pt 1.3650 1.9498 4.3955
```

Summary:
Calculated formation energy, eV/atom: 0.041
Symmetry: P2
Final energy, eV/atom: -4.405